(1)
Entry from the Alexandria database: SrEuBr2 after structural relaxation (PBE).

Calculated values
DOS(E_F) = 0.434 states/eV per atom
formation energy from raw total energies = -5.58 eV per formula unit

Cell: 4.3556 4.3556 10.3803 Å, 77.89 77.89 60.00°
Last column: nearest neighbours and their distance in Å.
Fractional coordinates of all 4 atoms:
Eu1 0.5000 0.5000 0.5000  6 Br 3.06
Sr1 0.0000 0.0000 0.0000  2 Br 3.29
Br1 0.1090 0.1090 0.6729  3 Eu 3.06, 1 Sr 3.29
Br2 0.8910 0.8910 0.3271  3 Eu 3.06, 1 Sr 3.29

(2)
Entry from the Alexandria database: TbEuBr2 after structural relaxation (PBE).

Calculated values
DOS(E_F) = 0.512 states/eV per atom
formation energy from raw total energies = -4.55 eV per formula unit

Cell: 3.8806 3.8806 10.2759 Å, 79.12 79.12 60.00°
Last column: nearest neighbours and their distance in Å.
Fractional coordinates of all 4 atoms:
Eu1 0.5000 0.5000 0.5000  6 Br 3.11
Tb1 0.0000 0.0000 0.0000  2 Br 2.86
Br1 0.0952 0.0952 0.7145  1 Tb 2.86, 3 Eu 3.11
Br2 0.9048 0.9048 0.2855  1 Tb 2.86, 3 Eu 3.11

(3)
Entry from the Alexandria database: Eu2TeBr after structural relaxation (PBE).

Calculated values
offset from the most stable computed form = 0.0 meV/atom
DOS(E_F) = 0.526 states/eV per atom
formation energy from raw total energies = -6.16 eV per formula unit

Cell: 4.5923 4.5923 7.6133 Å, 72.45 72.45 60.00°
Last column: nearest neighbours and their distance in Å.
Fractional coordinates of all 4 atoms:
Eu1 0.7492 0.7492 0.7525  3 Br 3.19, 3 Te 3.21
Eu2 0.2508 0.2508 0.2475  3 Br 3.19, 3 Te 3.21
Te1 0.5000 0.5000 0.5000  6 Eu 3.21
Br1 0.0000 0.0000 0.0000  6 Eu 3.19

(4)
Entry from the Alexandria database: Eu2TeBr after structural relaxation (PBE).

Calculated values
offset from the most stable computed form = 130.5 meV/atom
DOS(E_F) = 0.611 states/eV per atom
formation energy from raw total energies = -5.64 eV per formula unit

Cell: 3.9820 5.4859 5.4859 Å, 90.00 90.00 90.00°
Last column: nearest neighbours and their distance in Å.
Fractional coordinates of all 4 atoms:
Eu1 0.0000 0.0000 0.5000  4 Br 3.39, 4 Te 3.39
Eu2 0.0000 0.5000 0.0000  4 Br 3.39, 4 Te 3.39
Te1 0.5000 0.0000 0.0000  8 Eu 3.39
Br1 0.5000 0.5000 0.5000  8 Eu 3.39

(5)
Entry from the Alexandria database: Eu2TeBr after structural relaxation (PBE).

Calculated values
offset from the most stable computed form = 95.1 meV/atom
DOS(E_F) = 0.631 states/eV per atom
formation energy from raw total energies = -5.78 eV per formula unit

Cell: 5.5226 5.5226 5.5226 Å, 60.00 60.00 60.00°
Last column: nearest neighbours and their distance in Å.
Fractional coordinates of all 4 atoms:
Eu1 0.2500 0.2500 0.2500  4 Te 3.38, 4 Br 3.38
Eu2 0.7500 0.7500 0.7500  4 Br 3.38, 4 Te 3.38
Te1 0.0000 0.0000 0.0000  8 Eu 3.38
Br1 0.5000 0.5000 0.5000  8 Eu 3.38

(6)
Entry from the Alexandria database: EuTlTeBr after structural relaxation (PBE).

Calculated values
DOS(E_F) = 0.557 states/eV per atom
formation energy from raw total energies = -4.55 eV per formula unit

Cell: 5.6492 5.6492 5.6492 Å, 60.00 60.00 60.00°
Last column: nearest neighbours and their distance in Å.
Fractional coordinates of all 4 atoms:
Eu1 0.7500 0.7500 0.7500  4 Br 3.46, 4 Te 3.46
Tl1 0.2500 0.2500 0.2500  4 Te 3.46, 4 Br 3.46
Te1 0.0000 0.0000 0.0000  4 Tl 3.46, 4 Eu 3.46
Br1 0.5000 0.5000 0.5000  4 Tl 3.46, 4 Eu 3.46